VASP calculation (PBE) on a geometry-optimized Dy3InPt12 structure.

CIF file:
```
data_Dy3InPt12
_cell_length_a 4.109
_cell_length_b 4.109
_cell_length_c 16.350
_cell_angle_alpha 90.00
_cell_angle_beta 90.00
_cell_angle_gamma 90.00
_space_group_name_H-M_alt 'P 4/m m m'
_space_group_IT_number 123
_space_group_name_Hall '-P 4 2'
loop_
_atom_site_label
_atom_site_fract_x
_atom_site_fract_y
_atom_site_fract_z
_atom_site_occupancy
Dy1 0.000 0.000 0.000 1
Dy2 0.000 0.000 0.252 1
In1 0.000 0.000 0.500 1
Pt1 0.000 0.500 0.126 1
Pt2 0.000 0.500 0.379 1
Pt3 0.500 0.500 0.000 1
Pt4 0.500 0.500 0.253 1
Pt5 0.500 0.500 0.500 1
```

Properties
uncorrected energy	-0.4728	Ry/atom
Fermi-level density of states	15.9	states/eV/cell